Record 1
Compound: ZrSi2Br
Source: Alexandria
Functional: meta-GGA SCAN
Structure: single point on PBEsol structure Values from VASP.

Geometry as Quantum ESPRESSO input:
```
&SYSTEM
  ibrav = 0, nat = 8, ntyp = 3
/
ATOMIC_SPECIES
Zr 91.22 Zr.upf
Si 28.09 Si.upf
Br 79.90 Br.upf
ATOMIC_POSITIONS crystal
Zr 0.000 0.000 0.000
Zr 0.500 0.500 0.000
Si 0.250 0.250 0.500
Si 0.250 0.750 0.500
Si 0.750 0.250 0.500
Si 0.750 0.750 0.500
Br 0.000 0.500 0.000
Br 0.500 0.000 0.000
CELL_PARAMETERS angstrom
5.394 0.000 0.000
0.000 9.731 0.000
-1.645 0.000 2.793
```

As for the total energy: -17.2866 eV/atom. The calculation puts the calculated volume at 147 Å³ per cell. The calculation puts the excess energy over the best structure of this formula in the dataset at 0.5070 eV per atom. As for the uncorrected formation energy: 6.0 kcal/mol of atoms. The calculation puts the size of the total moment at 0.000 Bohr magnetons per cell.



Record 2
Compound: CaRu2Se
Source: Alexandria
Functional: meta-GGA SCAN
Structure: single point on PBEsol structure Values from VASP.

Geometry as Quantum ESPRESSO input:
```
&SYSTEM
  ibrav = 0, nat = 8, ntyp = 3
/
ATOMIC_SPECIES
Ca 40.08 Ca.upf
Ru 101.07 Ru.upf
Se 78.96 Se.upf
ATOMIC_POSITIONS crystal
Ca 0.000 0.000 0.000
Ca 0.500 0.500 0.500
Ru 0.000 0.000 0.517
Ru 0.000 0.500 0.781
Ru 0.500 0.000 0.281
Ru 0.500 0.500 0.017
Se 0.000 0.500 0.230
Se 0.500 0.000 0.730
CELL_PARAMETERS angstrom
3.061 0.000 0.000
0.000 4.606 0.000
0.000 0.000 9.270
```

As for the total energy: -24.6903 eV/atom. The calculation puts the calculated volume at 131 Å³ per cell. As for the uncorrected formation energy: 3.6 kcal/mol of atoms. The calculation puts the size of the total moment at 0.004 Bohr magnetons per cell.



Record 3
Compound: Tc2BO
Source: Alexandria
Functional: meta-GGA SCAN
Structure: single point on PBEsol structure Values from VASP.

Geometry as Quantum ESPRESSO input:
```
&SYSTEM
  ibrav = 0, nat = 16, ntyp = 3
/
ATOMIC_SPECIES
Tc 98.00 Tc.upf
B 10.81 B.upf
O 16.00 O.upf
ATOMIC_POSITIONS crystal
Tc 0.250 0.250 0.250
Tc 0.250 0.250 0.750
Tc 0.250 0.750 0.250
Tc 0.250 0.750 0.750
Tc 0.750 0.250 0.250
Tc 0.750 0.250 0.750
Tc 0.750 0.750 0.250
Tc 0.750 0.750 0.750
B 0.000 0.000 0.000
B 0.000 0.500 0.500
B 0.500 0.000 0.500
B 0.500 0.500 0.000
O 0.000 0.000 0.500
O 0.000 0.500 0.000
O 0.500 0.000 0.000
O 0.500 0.500 0.500
CELL_PARAMETERS angstrom
5.395 0.000 0.000
0.000 5.395 0.000
0.000 0.000 5.395
```

As for the total energy: -20.8112 eV/atom. The calculation puts the calculated volume at 157 Å³ per cell. As for the uncorrected formation energy: 3.1 kcal/mol of atoms. The calculation puts the size of the total moment at 0.001 Bohr magnetons per cell.



Record 4
Compound: CuRe2Au
Source: Alexandria
Functional: meta-GGA SCAN
Structure: single point on PBEsol structure Values from VASP.

Geometry as Quantum ESPRESSO input:
```
&SYSTEM
  ibrav = 0, nat = 8, ntyp = 3
/
ATOMIC_SPECIES
Cu 63.55 Cu.upf
Re 186.21 Re.upf
Au 196.97 Au.upf
ATOMIC_POSITIONS crystal
Cu 0.000 0.000 0.000
Cu 0.500 0.500 0.000
Re 0.000 0.000 0.480
Re 0.000 0.500 0.241
Re 0.500 0.000 0.241
Re 0.500 0.500 0.480
Au 0.000 0.500 0.756
Au 0.500 0.000 0.756
CELL_PARAMETERS angstrom
2.904 0.000 0.000
0.000 4.500 0.000
0.000 0.000 9.039
```

For the formation enthalpy at 0 K, the calculation gives 302 meV/atom. As for the total energy: -56.3359 eV/atom. The calculation puts the calculated volume at 118 Å³ per cell. The calculation puts the excess energy over the best structure of this formula in the dataset at 0.0532 eV per atom. The calculation puts the size of the total moment at 0.000 Bohr magnetons per cell.



Record 5
Compound: CsTl3Te
Source: Alexandria
Functional: meta-GGA SCAN
Structure: single point on PBEsol structure Values from VASP.

Geometry as Quantum ESPRESSO input:
```
&SYSTEM
  ibrav = 0, nat = 5, ntyp = 3
/
ATOMIC_SPECIES
Cs 132.91 Cs.upf
Tl 204.38 Tl.upf
Te 127.60 Te.upf
ATOMIC_POSITIONS crystal
Cs 0.000 0.000 0.000
Tl 0.000 0.500 0.500
Tl 0.500 0.000 0.500
Tl 0.500 0.500 0.000
Te 0.500 0.500 0.500
CELL_PARAMETERS angstrom
6.305 0.000 0.000
0.000 6.305 0.000
0.000 0.000 6.305
```

As for the total energy: -58.3979 eV/atom. The calculation puts the calculated volume at 251 Å³ per cell. As for the uncorrected formation energy: 0.7 kcal/mol of atoms. The calculation puts the size of the total moment at 0.000 Bohr magnetons per cell.



Record 6
Compound: SrCa3Rh
Source: Alexandria
Functional: meta-GGA SCAN
Structure: single point on PBEsol structure Values from VASP.

Geometry as Quantum ESPRESSO input:
```
&SYSTEM
  ibrav = 0, nat = 10, ntyp = 3
/
ATOMIC_SPECIES
Sr 87.62 Sr.upf
Ca 40.08 Ca.upf
Rh 102.91 Rh.upf
ATOMIC_POSITIONS crystal
Sr 0.024 0.243 0.291
Sr 0.976 0.757 0.709
Ca 0.052 0.776 0.191
Ca 0.466 0.238 0.512
Ca 0.500 0.000 0.000
Ca 0.500 0.500 0.000
Ca 0.534 0.762 0.488
Ca 0.948 0.224 0.809
Rh 0.288 0.910 0.777
Rh 0.712 0.090 0.223
CELL_PARAMETERS angstrom
6.717 0.000 0.000
2.604 7.215 0.000
1.495 3.005 7.008
```

For the formation enthalpy at 0 K, the calculation gives -238 meV/atom. As for the total energy: -17.2449 eV/atom. The calculation puts the calculated volume at 340 Å³ per cell. The calculation puts the excess energy over the best structure of this formula in the dataset at 0.0000 eV per atom. The calculation puts the size of the total moment at 0.012 Bohr magnetons per cell.